[1]
Density functional theory data (GGA-PBE) for crystalline Cu6HgPd12 at its relaxed geometry.

Lattice parameters (Å, degrees): 6.735 7.285 7.285 69.05 72.05 107.95
Sites, in units of the cell vectors:
Cu 0.424 0.474 0.213
Cu 0.049 0.687 0.526
Cu 0.363 0.787 0.687
Cu 0.576 0.526 0.787
Cu 0.951 0.313 0.474
Cu 0.637 0.213 0.313
Hg 0.000 0.000 0.000
Pd 0.518 0.845 0.273
Pd 0.673 0.882 0.845
Pd 0.791 0.273 0.882
Pd 0.482 0.155 0.727
Pd 0.327 0.118 0.155
Pd 0.209 0.727 0.118
Pd 0.265 0.431 0.623
Pd 0.112 0.377 0.055
Pd 0.167 0.055 0.569
Pd 0.735 0.569 0.377
Pd 0.888 0.623 0.945
Pd 0.833 0.945 0.431

The final energy is -88.6 eV/cell. Its crystal system is trigonal. For the offset from the most stable computed form, the calculation gives 0.000 eV/atom. The density of states at the Fermi level comes out at 19.3 states/eV per cell.

=====

[2]
Density functional theory data (GGA-PBE) for crystalline Cu2HgPd5 at its relaxed geometry.

Lattice parameters (Å, degrees): 5.556 5.556 5.556 119.17 119.17 91.44
Sites, in units of the cell vectors:
Cu 0.278 0.778 0.500
Cu 0.778 0.278 0.500
Hg 0.778 0.778 0.000
Pd 0.278 0.278 0.500
Pd 0.278 0.778 0.000
Pd 0.778 0.278 0.000
Pd 0.778 0.778 0.500
Pd 0.278 0.278 0.000

The final energy is -35.0 eV/cell. Its crystal system is tetragonal. For the offset from the most stable computed form, the calculation gives 0.000 eV/atom. The density of states at the Fermi level comes out at 7.9 states/eV per cell.

=====

[3]
Density functional theory data (GGA-PBE) for crystalline Cu4HgPd15 at its relaxed geometry.

Lattice parameters (Å, degrees): 3.915 3.915 19.673 90.00 90.00 90.00
Sites, in units of the cell vectors:
Cu 0.000 0.000 0.206
Cu 0.000 0.000 0.402
Cu 0.000 0.000 0.598
Cu 0.000 0.000 0.794
Hg 0.000 0.000 0.000
Pd 0.500 0.500 0.000
Pd 0.500 0.500 0.207
Pd 0.500 0.500 0.402
Pd 0.500 0.500 0.598
Pd 0.500 0.500 0.793
Pd 0.500 0.000 0.109
Pd 0.500 0.000 0.305
Pd 0.500 0.000 0.500
Pd 0.500 0.000 0.695
Pd 0.500 0.000 0.891
Pd 0.000 0.500 0.109
Pd 0.000 0.500 0.305
Pd 0.000 0.500 0.500
Pd 0.000 0.500 0.695
Pd 0.000 0.500 0.891

The final energy is -96.0 eV/cell. Its crystal system is tetragonal. The density of states at the Fermi level comes out at 21.8 states/eV per cell.